Compound: MgReMo2
Source: Alexandria
Functional: PBEsol
Structure: relaxed

Values from the calculation:
As for the total magnetization: 0.00 μB per cell. Its calculated formation energy is 75.1 kJ/mol of formula units. As for the density of states at the Fermi level: 2.578 states/eV/cell.

Structure (POSCAR):
```
MgReMo2
1.0
1.561 -2.209 0.000
1.561 2.209 0.000
0.000 0.000 9.088
Mg Re Mo
1 1 2
Cartesian
0.000 0.000 0.000
1.561 0.000 6.750
0.000 0.000 4.592
1.561 0.000 2.416
```

***

Compound: MgReMo2
Source: Alexandria
Functional: PBEsol
Structure: relaxed

Values from the calculation:
As for the total magnetization: 0.00 μB per cell. Its calculated formation energy is 155.1 kJ/mol of formula units. As for the density of states at the Fermi level: 3.487 states/eV/cell.

Structure (POSCAR):
```
MgReMo2
1.0
2.666 -4.377 0.000
2.666 4.377 0.000
0.000 0.000 2.654
Mg Re Mo
1 1 2
Cartesian
0.000 0.000 0.000
2.666 0.000 0.000
1.333 2.188 1.327
1.333 -2.188 1.327
```

***

Compound: MgReMo2
Source: Alexandria
Functional: PBEsol
Structure: relaxed

Values from the calculation:
As for the total magnetization: 0.00 μB per cell. Its calculated formation energy is 175.7 kJ/mol of formula units. As for the density of states at the Fermi level: 3.113 states/eV/cell.

Structure (POSCAR):
```
MgReMo2
1.0
-1.888 1.888 4.318
1.888 -1.888 4.318
1.888 1.888 -4.318
Mg Re Mo
1 1 2
Cartesian
0.000 0.000 0.000
1.888 0.000 2.159
0.000 0.000 4.318
0.000 1.888 2.159
```

***

Compound: MgReTe2Mo
Source: Alexandria
Functional: PBEsol
Structure: relaxed

Values from the calculation:
As for the total magnetization: 3.62 μB per cell. For the formation energy from raw total energies, the calculation gives 2.17 eV/atom. As for the density of states at the Fermi level: 4.159 states/eV/cell.

Structure (POSCAR):
```
MgReTe2Mo
1.0
4.990 0.000 0.000
0.000 4.990 0.000
0.000 0.000 4.626
Mg Re Te Mo
1 1 2 1
Cartesian
0.000 0.000 0.000
2.495 2.495 2.313
0.000 2.495 0.000
2.495 0.000 0.000
0.000 0.000 2.313
```

***

Compound: MgMo2Rh
Source: Alexandria
Functional: PBEsol
Structure: relaxed

Values from the calculation:
As for the total magnetization: 0.00 μB per cell. Its calculated formation energy is 68.6 kJ/mol of formula units. As for the density of states at the Fermi level: 2.593 states/eV/cell.

Structure (POSCAR):
```
MgMo2Rh
1.0
1.866 -1.968 0.000
1.866 1.968 0.000
0.000 0.000 8.445
Mg Mo Rh
1 2 1
Cartesian
0.000 0.000 0.000
1.866 0.000 2.287
1.866 0.000 6.158
0.000 0.000 4.223
```

***

Compound: MgMo3Rh
Source: Alexandria
Functional: PBEsol
Structure: relaxed

Values from the calculation:
As for the total magnetization: 0.00 μB per cell. Its calculated formation energy is 1103.4 kJ/mol of formula units. As for the density of states at the Fermi level: 5.407 states/eV/cell.

Structure (POSCAR):
```
MgMo3Rh
1.0
4.426 0.000 0.000
0.000 4.426 0.000
0.000 0.000 4.426
Mg Mo Rh
1 3 1
Cartesian
0.000 0.000 0.000
0.000 0.000 2.213
0.000 2.213 0.000
2.213 0.000 0.000
2.213 2.213 2.213
```

***

Compound: MgMoRu
Source: Alexandria
Functional: PBEsol
Structure: relaxed

Values from the calculation:
As for the total magnetization: 0.00 μB per cell. Its calculated formation energy is 56.9 kJ/mol of formula units. As for the density of states at the Fermi level: 3.006 states/eV/cell.

Structure (POSCAR):
```
MgMoRu
1.0
4.347 0.000 0.000
-2.174 3.765 0.000
0.000 0.000 2.759
Mg Mo Ru
1 1 1
Cartesian
0.000 0.000 0.000
0.000 2.510 1.114
2.174 1.255 1.753
```

***

Compound: MgMoRu
Source: Alexandria
Functional: PBEsol
Structure: relaxed

Values from the calculation:
As for the total magnetization: 0.00 μB per cell. Its calculated formation energy is 241.2 kJ/mol of formula units. As for the density of states at the Fermi level: 3.089 states/eV/cell.

Structure (POSCAR):
```
MgMoRu
1.0
0.000 2.979 2.979
2.979 0.000 2.979
2.979 2.979 0.000
Mg Mo Ru
1 1 1
Cartesian
0.000 0.000 0.000
4.469 4.469 4.469
2.979 2.979 2.979
```

***

Compound: MgMoRu
Source: Alexandria
Functional: PBEsol
Structure: relaxed

Values from the calculation:
As for the total magnetization: 0.00 μB per cell. Its calculated formation energy is 77.6 kJ/mol of formula units. As for the density of states at the Fermi level: 3.030 states/eV/cell.

Structure (POSCAR):
```
MgMoRu
1.0
0.000 2.260 6.810
1.501 0.000 6.810
1.501 2.260 0.000
Mg Mo Ru
1 1 1
Cartesian
0.000 0.000 0.000
1.501 2.260 9.266
1.501 2.260 4.544
```

***

Compound: MgMo3S4
Source: Alexandria
Functional: PBEsol
Structure: relaxed

Values from the calculation:
As for the total magnetization: 0.00 μB per cell. For the formation energy from raw total energies, the calculation gives -0.91 eV/atom.

Structure (POSCAR):
```
MgMo3S4
1.0
6.518 0.000 0.000
-0.937 6.454 0.000
-0.074 -1.106 6.513
Mg Mo S
2 6 8
Cartesian
-0.088 0.951 2.624
5.595 4.397 3.889
1.097 2.550 0.304
2.155 2.619 4.754
2.257 4.902 0.666
3.250 0.446 5.847
3.352 2.730 1.758
4.410 2.798 6.209
0.231 3.568 5.866
1.121 0.320 4.668
1.146 3.620 2.504
2.232 0.655 1.404
3.275 4.693 5.109
4.362 1.728 4.009
4.387 5.029 1.844
5.277 1.780 0.646
```

***

Compound: Mg2SbMo
Source: Alexandria
Functional: PBEsol
Structure: relaxed

Values from the calculation:
As for the total magnetization: 0.00 μB per cell. For the formation energy from raw total energies, the calculation gives 0.26 eV/atom. As for the density of states at the Fermi level: 2.186 states/eV/cell.

Structure (POSCAR):
```
Mg2SbMo
1.0
1.902 -2.258 0.000
1.902 2.258 0.000
0.000 0.000 9.263
Mg Sb Mo
2 1 1
Cartesian
0.000 0.000 2.062
0.000 0.000 7.201
1.902 0.000 4.631
1.902 0.000 0.000
```

***

Compound: MgSb2Mo
Source: Alexandria
Functional: PBEsol
Structure: relaxed

Values from the calculation:
As for the total magnetization: 0.00 μB per cell. For the formation energy from raw total energies, the calculation gives 0.25 eV/atom. As for the density of states at the Fermi level: 1.741 states/eV/cell.

Structure (POSCAR):
```
MgSb2Mo
1.0
1.849 -2.357 0.000
1.849 2.357 0.000
0.000 0.000 10.123
Mg Sb Mo
1 2 1
Cartesian
0.000 0.000 0.000
0.000 0.000 5.923
1.849 0.000 2.462
1.849 0.000 7.970
```

***

Compound: Mg2SbMo
Source: Alexandria
Functional: PBEsol
Structure: relaxed

Values from the calculation:
As for the total magnetization: 0.00 μB per cell. For the formation energy from raw total energies, the calculation gives 0.28 eV/atom. As for the density of states at the Fermi level: 3.104 states/eV/cell.

Structure (POSCAR):
```
Mg2SbMo
1.0
3.237 0.000 0.000
0.000 4.044 0.000
0.000 0.000 5.769
Mg Sb Mo
2 1 1
Cartesian
0.000 0.000 1.340
0.000 0.000 4.429
1.618 2.022 2.884
1.618 2.022 0.000
```

***

Compound: MgSb3Mo
Source: Alexandria
Functional: PBEsol
Structure: relaxed

Values from the calculation:
As for the total magnetization: 3.78 μB per cell. For the formation energy from raw total energies, the calculation gives 1.31 eV/atom. As for the density of states at the Fermi level: 3.580 states/eV/cell.

Structure (POSCAR):
```
MgSb3Mo
1.0
5.199 0.000 0.000
0.000 5.199 0.000
0.000 0.000 5.199
Mg Sb Mo
1 3 1
Cartesian
0.000 0.000 0.000
0.000 0.000 2.600
0.000 2.600 0.000
2.600 0.000 0.000
2.600 2.600 2.600
```

***

Compound: MgSb2Mo
Source: Alexandria
Functional: PBEsol
Structure: relaxed

Values from the calculation:
As for the total magnetization: 0.00 μB per cell. For the formation energy from raw total energies, the calculation gives -0.01 eV/atom. As for the density of states at the Fermi level: 1.550 states/eV/cell.

Structure (POSCAR):
```
MgSb2Mo
1.0
3.384 0.000 0.000
0.000 3.402 0.000
-0.721 0.000 7.162
Mg Sb Mo
1 2 1
Cartesian
0.000 0.000 0.000
1.364 1.701 2.035
1.299 1.701 5.127
-0.360 0.000 3.581
```

***

Compound: MgSb2Mo
Source: Alexandria
Functional: PBEsol
Structure: relaxed

Values from the calculation:
As for the total magnetization: 1.55 μB per cell. For the formation energy from raw total energies, the calculation gives 0.59 eV/atom. As for the density of states at the Fermi level: 2.284 states/eV/cell.

Structure (POSCAR):
```
MgSb2Mo
1.0
0.000 3.459 3.459
3.459 0.000 3.459
3.459 3.459 0.000
Mg Sb Mo
1 2 1
Cartesian
0.000 0.000 0.000
3.459 3.459 3.459
5.188 5.188 5.188
1.729 1.729 1.729
```

***

Compound: MgSbMo2
Source: Alexandria
Functional: PBEsol
Structure: relaxed

Values from the calculation:
As for the total magnetization: 0.00 μB per cell. For the formation energy from raw total energies, the calculation gives 0.56 eV/atom. As for the density of states at the Fermi level: 2.725 states/eV/cell.

Structure (POSCAR):
```
MgSbMo2
1.0
1.685 -2.362 0.000
1.685 2.362 0.000
0.000 0.000 8.919
Mg Sb Mo
1 1 2
Cartesian
0.000 0.000 0.000
0.000 0.000 4.460
1.685 0.000 2.309
1.685 0.000 6.610
```

***

Compound: Mg2SbMo
Source: Alexandria
Functional: PBEsol
Structure: relaxed

Values from the calculation:
As for the total magnetization: 1.02 μB per cell. For the formation energy from raw total energies, the calculation gives 0.23 eV/atom. As for the density of states at the Fermi level: 2.754 states/eV/cell.

Structure (POSCAR):
```
Mg2SbMo
1.0
4.215 0.000 0.000
0.000 4.215 0.000
0.000 0.000 4.144
Mg Sb Mo
2 1 1
Cartesian
0.000 2.108 0.000
2.108 0.000 0.000
0.000 0.000 2.072
2.108 2.108 2.072
```

***

Compound: Mg2SbMo
Source: Alexandria
Functional: PBEsol
Structure: relaxed

Values from the calculation:
As for the total magnetization: 0.00 μB per cell. For the formation energy from raw total energies, the calculation gives 0.20 eV/atom. As for the density of states at the Fermi level: 2.382 states/eV/cell.

Structure (POSCAR):
```
Mg2SbMo
1.0
-1.984 1.984 4.719
1.984 -1.984 4.719
1.984 1.984 -4.719
Mg Sb Mo
2 1 1
Cartesian
1.984 0.000 2.359
0.000 1.984 2.359
0.000 0.000 0.000
0.000 0.000 4.719
```

***

Compound: MgSb2Mo
Source: Alexandria
Functional: PBEsol
Structure: relaxed

Values from the calculation:
As for the total magnetization: 0.00 μB per cell. For the formation energy from raw total energies, the calculation gives 0.25 eV/atom. As for the density of states at the Fermi level: 2.825 states/eV/cell.

Structure (POSCAR):
```
MgSb2Mo
1.0
4.727 0.000 0.000
0.000 4.727 0.000
0.000 0.000 3.528
Mg Sb Mo
1 2 1
Cartesian
0.000 0.000 0.000
0.000 2.364 1.764
2.364 0.000 1.764
2.364 2.364 0.000
```